Here is a relaxed Li3HAu crystal from Alexandria via LeMat-Bulk. Energies are from PBE-GGA.

Calculated values
N(E_F) in states/eV per atom: 0.29
Total magnetic moment in μB/f.u.: 0.000
Energy above the most stable polymorph in this dataset in meV/atom: 5.1
Calculated volume in Å³/f.u.: 62.0
Theoretical density in g/cm3: 5.86
Final energy in eV for the cell shown: -14.44

Cell and atoms, written as extended XYZ:
```
5
Lattice="3.959 0.000 0.000 0.000 3.959 0.000 0.000 0.000 3.959" Properties=species:S:1:pos:R:3 pbc="T T T"
H 0.000 0.000 0.000
Au 1.979 1.979 1.979
Li 0.000 1.979 0.000
Li 0.000 0.000 1.979
Li 1.979 0.000 0.000
```